This record from OQMD describes an optimized crystal structure of Gd2ErTm5. The functional is GGA-PBE.

Total magnetization: 0.1 μB per formula unit
Calculated density: 8.98 g/cm3
V: 30.66 Å³/atom
Formation enthalpy at 0 K: 3.9 meV per atom

abc: 5.574 7.129 12.347
angles: 90.00 90.00 90.00
Space group Amm2 (No. 38)
Unique sites:
Gd1 0.000 0.000 0.000
Gd2 0.500 0.000 0.333
Er1 0.500 0.000 0.832
Tm1 0.000 0.000 0.501
Tm2 0.000 0.249 0.750
Tm3 0.500 0.249 0.584

This record from OQMD describes an optimized crystal structure of GePtSeS2. The functional is GGA-PBE.

Total magnetization: 0.0 μB per formula unit
Final energy: -0.3548 Ry per atom
Calculated density: 5.53 g/cm3
V: 24.65 Å³/atom

abc: 15.440 3.563 9.431
angles: 90.00 108.16 90.00
Space group C2/m (No. 12)
Unique sites:
Ge1 0.087 0.000 0.304
Pt1 0.116 0.500 0.979
Se1 0.079 0.000 0.792
S1 0.130 0.500 0.459
S2 0.171 0.000 0.144